Here is a relaxed structure of Sc2Cu2SiPb from OQMD via LeMat-Bulk. Energies are from PBE.

abc: 10.5615 4.3096 10.5777
angles: 90.00 109.46 90.00
Closest atoms and distances in Å follow each position.
Fractional coordinates of all 24 atoms:
Pb: 0.6241 0.0000 0.6258  4 Cu 2.65-2.76
Sc: 0.7380 0.5000 0.4883  4 Cu 2.68-2.73, 1 Si 2.94
Si: 0.7527 0.5000 0.0043  4 Cu 2.48-2.61
Pb: 0.8726 0.0000 0.3706  4 Cu 2.69-2.76
Pb: 0.0027 0.5000 0.7523  4 Cu 2.66-2.78
Cu: 0.0034 0.5000 0.0153  4 Sc 2.50-2.62, 3 Si 2.60-2.61, 1 Pb 2.78
Si: 0.2512 0.5000 0.4962  4 Cu 2.49-2.62
Si: 0.1271 0.0000 0.1301  4 Cu 2.52-2.60
Cu: 0.4834 0.5000 0.4862  2 Si 2.49-2.56, 4 Sc 2.57-2.75, 2 Pb 2.75
Pb: 0.3743 0.0000 0.8746  4 Cu 2.69-2.76, 1 Sc 3.01
Sc: 0.3700 0.0000 0.3706  4 Cu 2.49-2.57
Sc: 0.2506 0.5000 0.0120  3 Cu 2.62
Sc: 0.8830 0.0000 0.8926  4 Cu 2.55-2.80
Sc: 0.1299 0.0000 0.6134  4 Cu 2.59-2.74
Cu: 0.2526 0.5000 0.7330  1 Si 2.50, 3 Sc 2.61-2.64, 3 Pb 2.69-2.71
Si: 0.4955 0.5000 0.2488  4 Cu 2.56-2.60
Cu: 0.8751 0.0000 0.6255  4 Pb 2.65-2.69, 4 Sc 2.73-2.80
Cu: 0.7355 0.5000 0.2330  2 Si 2.48-2.60, 3 Sc 2.56-2.69, 2 Pb 2.73
Sc: 0.5083 0.5000 0.7536  4 Cu 2.64-2.75
Cu: 0.3721 0.0000 0.1348  4 Sc 2.50-2.63, 3 Si 2.57-2.60, 1 Pb 2.76
Cu: 0.6411 0.0000 0.8914  4 Sc 2.55-2.72, 2 Si 2.55, 2 Pb 2.76
Sc: 0.6174 0.0000 0.1251  4 Cu 2.56-2.63
Sc: 0.0053 0.5000 0.2520  4 Cu 2.50-2.79
Cu: 0.1340 0.0000 0.3704  4 Sc 2.49-2.63, 3 Si 2.52-2.62, 1 Pb 2.76

Properties
- raw total energy (eV/atom) = -5.2634


Here is a relaxed structure of Ta2InAg from OQMD via LeMat-Bulk. Energies are from PBE.

abc: 4.7593 4.7593 4.7593
angles: 60.00 60.00 60.00
Closest atoms and distances in Å follow each position.
Fractional coordinates of all 4 atoms:
Ta: 0.7500 0.7500 0.7500  4 Ta 2.91, 4 In 2.91
Ag: 0.2500 0.2500 0.2500  4 In 2.91, 4 Ta 2.91
Ta: 0.0000 0.0000 0.0000  4 Ta 2.91, 4 Ag 2.91
In: 0.5000 0.5000 0.5000  4 Ag 2.91, 4 Ta 2.91

Properties
- raw total energy (eV/atom) = -6.7985


Here is a relaxed structure of NaAgSnTeS2 from OQMD via LeMat-Bulk. Energies are from PBE.

abc: 7.5036 7.5036 11.5116
angles: 90.00 90.00 151.29
Closest atoms and distances in Å follow each position.
Fractional coordinates of all 12 atoms:
Te: 0.0834 0.9166 0.7500  2 Ag 2.93, 2 Sn 3.12, 2 Na 3.20
Te: 0.9166 0.0834 0.2500  2 Ag 2.93, 2 Sn 3.12, 2 Na 3.20
S: 0.6244 0.3756 0.0484  1 Ag 2.44, 2 Sn 2.65
Ag: 0.5721 0.4279 0.2500  2 S 2.44
S: 0.3756 0.6244 0.9516  1 Ag 2.44, 2 Sn 2.65
Ag: 0.4279 0.5721 0.7500  2 S 2.44
S: 0.3756 0.6244 0.5484  1 Ag 2.44, 2 Sn 2.65
Sn: 0.0000 0.0000 0.5000  4 S 2.65
Na: 0.7621 0.2379 0.7500  2 Ag 3.04, 2 Te 3.20, 4 S 3.40
Sn: 0.0000 0.0000 0.0000  4 S 2.65
S: 0.6244 0.3756 0.4516  1 Ag 2.44, 2 Sn 2.65
Na: 0.2379 0.7621 0.2500  2 Ag 3.04, 2 Te 3.20, 4 S 3.40

Properties
- raw total energy (eV/atom) = -3.6034


Here is a relaxed structure of YTlFeTe3 from OQMD via LeMat-Bulk. Energies are from PBE.

abc: 9.2463 9.2463 9.5863
angles: 102.85 102.85 28.34
Closest atoms and distances in Å follow each position.
Fractional coordinates of all 12 atoms:
Y: 0.1734 0.1734 0.0855  6 Te 3.02-3.14
Fe: 0.5022 0.5022 0.1487  4 Te 2.67-2.79, 1 Fe 2.83
Y: 0.8266 0.8266 0.9145  6 Te 3.02-3.14
Fe: 0.4978 0.4978 0.8513  4 Te 2.67-2.79, 1 Fe 2.83
Te: 0.3463 0.3463 0.1473  1 Fe 2.79, 1 Y 3.02
Te: 0.0000 0.0000 0.0000  4 Fe 2.67
Te: 0.6537 0.6537 0.8527  1 Fe 2.79, 1 Y 3.02
Te: 0.3478 0.3478 0.7097  1 Fe 2.72
Te: 0.6522 0.6522 0.2903  1 Fe 2.72
Te: 0.5000 0.5000 0.5000  4 Tl 3.32, 2 Fe 3.38
Tl: 0.8606 0.8606 0.4398  7 Te 3.32-3.68
Tl: 0.1394 0.1394 0.5602  7 Te 3.32-3.68

Properties
- E above lowest polymorph (meV per atom) = 169


Here is a relaxed structure of LiTbP4O12 from OQMD via LeMat-Bulk. Energies are from PBE.

abc: 6.9762 8.8008 8.8239
angles: 96.12 113.28 113.35
Closest atoms and distances in Å follow each position.
Fractional coordinates of all 36 atoms:
P: 0.5767 0.8857 0.1602  4 O 1.49-1.61
O: 0.9729 0.6403 0.1522  2 P 1.59-1.61
P: 0.2995 0.3019 0.5966  4 O 1.49-1.61
O: 0.6804 0.8597 0.3478  2 P 1.59-1.61
O: 0.7034 0.2385 0.9218  2 P 1.60-1.61
O: 0.2912 0.6836 0.4540  1 P 1.49
P: 0.0990 0.8019 0.0966  4 O 1.49-1.61
P: 0.7005 0.6981 0.4034  4 O 1.49-1.61
O: 0.0430 0.2615 0.5782  2 P 1.60-1.61
O: 0.2966 0.7615 0.0782  2 P 1.60-1.61
O: 0.3464 0.1836 0.9540  1 P 1.49
O: 0.0700 0.2239 0.0858  1 P 1.50
O: 0.7088 0.3164 0.5460  1 P 1.49
O: 0.7833 0.0280 0.7661  1 P 1.49
Tb: 0.4545 0.2500 0.2500  8 O 2.30-2.47
O: 0.2603 0.2761 0.4142  1 P 1.50
Tb: 0.5455 0.7500 0.7500  8 O 2.30-2.47
O: 0.1370 0.5749 0.7005  1 P 1.51
O: 0.7397 0.7239 0.5858  1 P 1.50
O: 0.4891 0.4720 0.7339  1 P 1.49
O: 0.9300 0.7761 0.9142  1 P 1.50
P: 0.9010 0.1981 0.9034  4 O 1.49-1.61
Li: 0.0452 0.7500 0.7500  4 O 1.95-1.96
O: 0.6384 0.0749 0.2005  1 P 1.51
P: 0.9692 0.3857 0.6602  4 O 1.49-1.61
O: 0.3196 0.1403 0.6522  2 P 1.59-1.61
O: 0.6536 0.8164 0.0460  1 P 1.49
O: 0.5109 0.5280 0.2661  1 P 1.49
O: 0.8630 0.4251 0.2995  1 P 1.51
Li: 0.9548 0.2500 0.2500  4 O 1.95-1.96
P: 0.0308 0.6143 0.3398  4 O 1.49-1.61
O: 0.9570 0.7385 0.4218  2 P 1.60-1.61
O: 0.3616 0.9251 0.7995  1 P 1.51
O: 0.2167 0.9720 0.2339  1 P 1.49
O: 0.0271 0.3597 0.8478  2 P 1.59-1.61
P: 0.4233 0.1143 0.8398  4 O 1.49-1.61

Properties
- raw total energy (eV/atom) = -7.3249


Here is a relaxed structure of Y2Re2O5 from OQMD via LeMat-Bulk. Energies are from PBE.

abc: 9.4946 3.5178 3.5178
angles: 90.00 90.00 90.00
Closest atoms and distances in Å follow each position.
Fractional coordinates of all 9 atoms:
O: 0.8786 0.5000 0.0000  2 Re 2.10, 2 Y 2.23, 1 O 2.30
Re: 0.5000 0.0000 0.0000  4 O 2.49
O: 0.8786 0.0000 0.5000  2 Re 2.10, 2 Y 2.23, 1 O 2.30
Y: 0.7348 0.5000 0.5000  5 O 2.23
O: 0.1214 0.0000 0.5000  2 Re 2.10, 2 Y 2.23, 1 O 2.30
O: 0.1214 0.5000 0.0000  2 Re 2.10, 2 Y 2.23, 1 O 2.30
Re: 0.0000 0.0000 0.0000  8 O 2.10
Y: 0.2652 0.5000 0.5000  5 O 2.23
O: 0.5000 0.5000 0.5000  2 Y 2.23, 4 Re 2.49

Properties
- E above lowest polymorph (meV per atom) = 414


Here is a relaxed structure of BeZn from OQMD via LeMat-Bulk. Energies are from PBE.

abc: 4.5233 5.0280 3.9169
angles: 90.00 90.00 89.99
Closest atoms and distances in Å follow each position.
Fractional coordinates of all 8 atoms:
Be: 0.8516 0.4992 0.0000  4 Be 2.40-2.59, 7 Zn 2.41-2.54
Be: 0.4817 0.9992 0.5000  4 Be 2.40-2.59, 7 Zn 2.41-2.54
Zn: 0.0292 0.7469 0.5000  7 Be 2.41-2.54, 4 Zn 2.56-2.57
Be: 0.3517 0.7508 0.0000  4 Be 2.40-2.59, 7 Zn 2.41-2.54
Zn: 0.3041 0.2469 0.0000  7 Be 2.41-2.54, 4 Zn 2.56-2.57
Be: 0.9817 0.2508 0.5000  4 Be 2.40-2.59, 7 Zn 2.41-2.54
Zn: 0.5292 0.5031 0.5000  7 Be 2.41-2.54, 4 Zn 2.56-2.57
Zn: 0.8041 0.0031 0.0000  7 Be 2.41-2.54, 4 Zn 2.56-2.57

Properties
- raw total energy (eV/atom) = -2.3444


Here is a relaxed structure of Ho3OsSe from OQMD via LeMat-Bulk. Energies are from PBE.

abc: 5.1520 5.1520 5.1520
angles: 90.00 90.00 90.00
Closest atoms and distances in Å follow each position.
Fractional coordinates of all 5 atoms:
Ho: 0.5000 0.0000 0.5000  2 Se 2.58
Ho: 0.5000 0.5000 0.0000  2 Se 2.58
Os: 0.0000 0.0000 0.0000  12 Ho 3.64
Ho: 0.0000 0.5000 0.5000  2 Se 2.58
Se: 0.5000 0.5000 0.5000  6 Ho 2.58

Properties
- raw total energy (eV/atom) = -5.4707


Here is a relaxed structure of Cs2ZrSe3 from OQMD via LeMat-Bulk. Energies are from PBE.

abc: 8.4051 8.4051 10.7297
angles: 119.67 119.67 54.03
Closest atoms and distances in Å follow each position.
Fractional coordinates of all 12 atoms:
Cs: 0.3115 0.3115 0.1843  5 Se 3.76-3.86
Zr: 0.3821 0.3821 0.8184  4 Se 2.49-2.62
Se: 0.1991 0.1991 0.7715  1 Zr 2.50
Se: 0.2462 0.7538 0.0000  2 Zr 2.62
Se: 0.6156 0.6156 0.4119  1 Zr 2.49
Se: 0.3844 0.3844 0.5881  1 Zr 2.49
Zr: 0.6179 0.6179 0.1816  4 Se 2.49-2.62
Cs: 0.6885 0.6885 0.8157  5 Se 3.76-3.86
Se: 0.7538 0.2462 0.0000  2 Zr 2.62
Se: 0.8009 0.8009 0.2285  1 Zr 2.50
Cs: 0.0849 0.0849 0.3691  7 Se 3.64-3.90
Cs: 0.9151 0.9151 0.6309  7 Se 3.64-3.90

Properties
- raw total energy (eV/atom) = -4.7937


Here is a relaxed structure of PaBiW from OQMD via LeMat-Bulk. Energies are from PBE.

abc: 4.9336 4.9336 4.9336
angles: 60.00 60.00 60.00
Closest atoms and distances in Å follow each position.
Fractional coordinates of all 3 atoms:
Bi: 0.2500 0.2500 0.2500  4 Pa 3.02
Pa: 0.0000 0.0000 0.0000  4 Bi 3.02, 4 W 3.02
W: 0.7500 0.7500 0.7500  4 Pa 3.02

Properties
- E above lowest polymorph (meV per atom) = 714